(1)
Ho2ErSc | GGA-PBE | optimized geometry

POSCAR file:
```
Ho2ErSc
1.0
3.4936 0.0000 0.0000
1.7468 3.0255 0.0000
1.7468 1.0085 11.0698
Ho Sc Er
2 1 1
Direct
0.0811 0.0811 0.7568
0.2522 0.2522 0.2433
0.6664 0.6664 0.0008
0.5003 0.5003 0.4992
```

Summary:
Relative energy among the computed polymorphs = 4 meV/atom
Total magnetic moment = 0.00 μB per formula unit
Density of states at the Fermi level = 1.5539 states/eV per atom
Energy of formation = 0.032 eV/atom
Symmetry = R3m
E = -4.980 eV/atom

---

(2)
Ho2Er4Sc5 | GGA-PBE | optimized geometry

POSCAR file:
```
Ho2Er4Sc5
1.0
5.2519 0.0000 -1.2811
-0.2937 6.1710 -1.2039
-0.5150 1.6867 9.2941
Sc Er Ho
5 4 2
Direct
0.1337 0.8473 0.2674
0.7847 0.6032 0.5693
0.2153 0.3968 0.4307
0.5000 0.0000 0.0000
0.8663 0.1527 0.7326
0.0369 0.2604 0.0738
0.3101 0.9206 0.6203
0.9631 0.7396 0.9262
0.6899 0.0794 0.3797
0.5993 0.5647 0.1986
0.4007 0.4353 0.8014
```

Summary:
Relative energy among the computed polymorphs = 0 meV/atom
Total magnetic moment = 0.00 μB per formula unit
Density of states at the Fermi level = 1.9026 states/eV per atom
Energy of formation = 0.101 eV/atom
Symmetry = C2/m
E = -5.269 eV/atom

---

(3)
HoEr5Sc5 | GGA-PBE | optimized geometry

POSCAR file:
```
HoEr5Sc5
1.0
-3.4604 -3.4768 3.0137
5.6302 -1.1476 -0.3583
1.8330 6.1281 9.1744
Er Sc Ho
5 5 1
Direct
0.6667 0.3333 0.1605
0.3333 0.6667 0.3191
0.0000 0.0000 0.0000
0.6667 0.3333 0.8395
0.3333 0.6667 0.6809
0.0000 0.0000 0.2686
0.8351 0.1649 0.5000
0.3298 0.1649 0.5000
0.0000 0.0000 0.7314
0.8351 0.6702 0.5000
0.3333 0.6667 0.0000
```

Summary:
Total magnetic moment = 2.41 μB per formula unit
Density of states at the Fermi level = 2.0218 states/eV per atom
Energy of formation = 0.247 eV/atom
Symmetry = P-6m2
E = -5.121 eV/atom

---

(4)
HoEr12Sc3 | GGA-PBE | optimized geometry

POSCAR file:
```
HoEr12Sc3
1.0
4.8985 0.0000 0.0000
0.0000 4.8985 0.0000
0.0000 0.0000 19.5633
Sc Er Ho
3 12 1
Direct
0.0000 0.0000 0.5000
0.0000 0.0000 0.7479
0.0000 0.0000 0.2521
0.5000 0.5000 0.5000
0.5000 0.0000 0.6237
0.5000 0.5000 0.7473
0.0000 0.5000 0.3763
0.0000 0.5000 0.6237
0.5000 0.0000 0.8716
0.5000 0.0000 0.3763
0.0000 0.5000 0.1284
0.5000 0.5000 0.0000
0.5000 0.0000 0.1284
0.0000 0.5000 0.8716
0.5000 0.5000 0.2527
0.0000 0.0000 0.0000
```

Summary:
Total magnetic moment = 0.00 μB per formula unit
Density of states at the Fermi level = 1.5011 states/eV per atom
Energy of formation = 0.038 eV/atom
Symmetry = P4/mmm
E = -4.857 eV/atom

---

(5)
HoEr3Sc2 | GGA-PBE | optimized geometry

POSCAR file:
```
HoEr3Sc2
1.0
5.4008 0.0001 -0.0001
0.0001 8.0421 -3.0333
-0.0001 -0.1824 8.5932
Er Sc Ho
6 4 2
Direct
0.9930 0.3744 0.8889
0.4930 0.1111 0.6256
0.4931 0.9060 0.9060
0.9931 0.0940 0.0940
0.9930 0.8889 0.3744
0.4930 0.6256 0.1111
0.9930 0.5116 0.2987
0.4930 0.4884 0.7013
0.9930 0.2987 0.5116
0.4930 0.7013 0.4884
0.4930 0.2785 0.2785
0.9930 0.7215 0.7215
```

Summary:
Relative energy among the computed polymorphs = 157 meV/atom
Total magnetic moment = 0.00 μB per formula unit
Density of states at the Fermi level = 1.8451 states/eV per atom
Energy of formation = 0.304 eV/atom
Symmetry = Cmcm
E = -4.851 eV/atom

---

(6)
Ho5Er2Sc2 | GGA-PBE | optimized geometry

POSCAR file:
```
Ho5Er2Sc2
1.0
-1.9389 2.4765 1.3476
-8.1661 -3.1305 -1.6520
-6.1745 -6.2301 6.9097
Ho Sc Er
5 2 2
Direct
0.0000 0.0000 0.0000
0.8317 0.4364 0.9002
0.3410 0.1013 0.2167
0.1683 0.5636 0.0998
0.6590 0.8987 0.7833
0.5117 0.6536 0.3229
0.4883 0.3464 0.6771
0.1463 0.2381 0.4694
0.8537 0.7619 0.5306
```

Summary:
Relative energy among the computed polymorphs = 0 meV/atom
Total magnetic moment = 0.00 μB per formula unit
Density of states at the Fermi level = 1.6367 states/eV per atom
Energy of formation = 0.107 eV/atom
Symmetry = C2/m
E = -4.858 eV/atom

---

(7)
Ho4Er6Sc | GGA-PBE | optimized geometry

POSCAR file:
```
Ho4Er6Sc
1.0
5.5261 0.0000 0.0000
-2.7631 4.7704 0.0000
0.0000 0.0000 25.3381
Er Ho Sc
12 8 2
Direct
0.8361 0.6722 0.6829
0.1639 0.3278 0.3171
0.8303 0.6607 0.3932
0.5000 0.0000 0.0000
0.1639 0.3278 0.1829
0.8361 0.6722 0.8171
0.8303 0.6607 0.1068
0.5021 0.0042 0.7500
0.1697 0.3393 0.8932
0.5000 0.0000 0.5000
0.1697 0.3393 0.6068
0.4979 0.9958 0.2500
0.1655 0.3311 0.4569
0.8345 0.6689 0.9569
0.4964 0.9927 0.3783
0.4964 0.9927 0.1217
0.1655 0.3311 0.0431
0.8345 0.6689 0.5431
0.5036 0.0073 0.6217
0.5036 0.0073 0.8783
0.1685 0.3371 0.7500
0.8315 0.6629 0.2500
```

Summary:
Relative energy among the computed polymorphs = 0 meV/atom
Total magnetic moment = 0.00 μB per formula unit
Density of states at the Fermi level = 1.6664 states/eV per atom
Energy of formation = 0.138 eV/atom
Symmetry = Cmcm
E = -4.591 eV/atom

---

(8)
Ho3Er8Sc3 | GGA-PBE | optimized geometry

POSCAR file:
```
Ho3Er8Sc3
1.0
5.3743 0.0247 1.0633
2.0590 8.4166 3.5005
0.9575 -0.2296 9.3009
Er Ho Sc
8 3 3
Direct
0.7410 0.8794 0.5668
0.3600 0.7593 0.4485
0.5681 0.2404 0.5517
0.1876 0.1206 0.4329
0.3601 0.4486 0.7595
0.1874 0.4332 0.1204
0.7409 0.5671 0.8796
0.5680 0.5512 0.2408
0.9642 0.7998 0.2001
0.4644 0.0000 0.0001
0.9645 0.2002 0.7998
0.1493 0.8159 0.8156
0.7811 0.1842 0.1843
0.9635 0.5000 0.5000
```

Summary:
Relative energy among the computed polymorphs = 0 meV/atom
Total magnetic moment = 0.00 μB per formula unit
Density of states at the Fermi level = 1.6794 states/eV per atom
Energy of formation = 0.147 eV/atom
Symmetry = Imm2
E = -4.798 eV/atom

---

(9)
Ho6Er3Sc2 | GGA-PBE | optimized geometry

POSCAR file:
```
Ho6Er3Sc2
1.0
4.6698 0.0000 0.0000
0.0000 4.6698 0.0000
-2.3349 -2.3349 15.8576
Ho Er Sc
6 3 2
Direct
0.8837 0.3837 0.7674
0.3837 0.8837 0.7674
0.1163 0.6163 0.2326
0.3060 0.3060 0.6119
0.6940 0.6940 0.3881
0.6163 0.1163 0.2326
0.8015 0.8015 0.6029
0.0000 0.0000 0.0000
0.1985 0.1985 0.3971
0.5437 0.5437 0.0873
0.4563 0.4563 0.9127
```

Summary:
Total magnetic moment = 0.00 μB per formula unit
Density of states at the Fermi level = 1.6224 states/eV per atom
Energy of formation = 0.308 eV/atom
Symmetry = I4/mmm
E = -4.585 eV/atom

---

(10)
Ho6Er8Sc | GGA-PBE | optimized geometry

POSCAR file:
```
Ho6Er8Sc
1.0
6.5231 0.0000 0.0000
0.0000 7.9692 -4.6010
0.0000 0.0000 9.2020
Er Ho Sc
8 6 1
Direct
0.8944 0.9781 0.3100
0.1056 0.6681 0.9781
0.1056 0.3100 0.3319
0.1056 0.0219 0.6900
0.8944 0.6900 0.6681
0.8257 0.3333 0.6667
0.8944 0.3319 0.0219
0.1743 0.6667 0.3333
0.5966 0.4048 0.3199
0.4034 0.0849 0.4048
0.5966 0.6801 0.0849
0.4034 0.3199 0.9151
0.5966 0.9151 0.5952
0.4034 0.5952 0.6801
0.5000 0.0000 0.0000
```

Summary:
Relative energy among the computed polymorphs = 145 meV/atom
Total magnetic moment = 0.00 μB per formula unit
Density of states at the Fermi level = 1.5555 states/eV per atom
Energy of formation = 0.267 eV/atom
Symmetry = P-3
E = -4.420 eV/atom